# UPa2Ni PBE relaxed
data_UPa2Ni
_chemical_formula_sum 'U1 Pa2 Ni1'
_cell_length_a 5.1397
_cell_length_b 5.1397
_cell_length_c 3.0737
_cell_angle_alpha 90.00
_cell_angle_beta 90.00
_cell_angle_gamma 90.00
_symmetry_space_group_name_H-M 'P 4/m m m'
_symmetry_Int_Tables_number 123
_symmetry_space_group_name_Hall '-P 4 2'
loop_
_atom_site_label
_atom_site_type_symbol
_atom_site_fract_x
_atom_site_fract_y
_atom_site_fract_z
U1 U 0.0000 0.0000 0.0000
Pa1 Pa 0.0000 0.5000 0.5000
Ni1 Ni 0.5000 0.5000 0.0000
# **Density of states at the Fermi level**: 7.43 states/eV/f.u.
# **Offset from the most stable computed form**: 0 meV/atom
# **Final energy**: -36.41 eV/cell
# **Spin magnetization**: 0.000 μB per formula unit
# **Formation energy**: -87 meV/atom

***

# CoHI PBE relaxed
data_CoHI
_chemical_formula_sum 'Co2 H2 I2'
_cell_length_a 3.4245
_cell_length_b 4.4605
_cell_length_c 7.4116
_cell_angle_alpha 102.94
_cell_angle_beta 90.10
_cell_angle_gamma 90.02
_symmetry_space_group_name_H-M 'P -1'
_symmetry_Int_Tables_number 2
loop_
_symmetry_equiv_pos_as_xyz
'x,y,z'
'-x,-y,-z'
loop_
_atom_site_label
_atom_site_type_symbol
_atom_site_fract_x
_atom_site_fract_y
_atom_site_fract_z
Co1 Co 0.2497 0.2187 0.4795
H1 H 0.2480 0.8547 0.4317
I1 I 0.2516 0.6676 0.7664
# **Density of states at the Fermi level**: 1.96 states/eV/f.u.
# **Final energy**: -22.85 eV/cell
# **Spin magnetization**: 1.395 μB per formula unit

***

# K2SrCl4 PBE relaxed
data_K2SrCl4
_chemical_formula_sum 'K8 Sr4 Cl16'
_cell_length_a 9.5100
_cell_length_b 13.7912
_cell_length_c 7.7165
_cell_angle_alpha 90.00
_cell_angle_beta 123.68
_cell_angle_gamma 90.00
_symmetry_space_group_name_H-M 'C 1 c 1'
_symmetry_Int_Tables_number 9
loop_
_symmetry_equiv_pos_as_xyz
'x,y,z'
'x,-y,z+1/2'
'x+1/2,y+1/2,z'
'x+1/2,-y+1/2,z+1/2'
loop_
_atom_site_label
_atom_site_type_symbol
_atom_site_fract_x
_atom_site_fract_y
_atom_site_fract_z
K1 K 0.0000 0.1022 0.0000
K2 K 0.2570 0.1898 0.6531
Sr1 Sr 0.0638 0.4075 0.8693
Cl1 Cl 0.1049 0.2974 0.2183
Cl2 Cl 0.2681 0.4460 0.6912
Cl3 Cl 0.3052 0.9995 0.4361
Cl4 Cl 0.4192 0.2679 0.1143
# **Density of states at the Fermi level**: 0.00 states/eV/f.u.
# **Offset from the most stable computed form**: 30 meV/atom
# **Final energy**: -105.62 eV/cell
# **Spin magnetization**: 0.000 μB per formula unit

***

# LiCr2 PBE relaxed
data_LiCr2
_chemical_formula_sum 'Li1 Cr2'
_cell_length_a 4.2295
_cell_length_b 4.2295
_cell_length_c 2.2556
_cell_angle_alpha 90.00
_cell_angle_beta 90.00
_cell_angle_gamma 120.00
_symmetry_space_group_name_H-M 'P -3 m 1'
_symmetry_Int_Tables_number 164
_symmetry_space_group_name_Hall '-P 3 2"'
loop_
_atom_site_label
_atom_site_type_symbol
_atom_site_fract_x
_atom_site_fract_y
_atom_site_fract_z
Li1 Li 0.0000 0.0000 0.0000
Cr1 Cr 0.3333 0.6667 0.3321
# **Density of states at the Fermi level**: 2.85 states/eV/f.u.
# **Offset from the most stable computed form**: 0 meV/atom
# **Final energy**: -19.91 eV/cell
# **Spin magnetization**: 0.000 μB per formula unit
# **Formation energy**: 418 meV/atom

***

# Ag3Br2F PBE relaxed
data_Ag3Br2F
_chemical_formula_sum 'Ag12 Br8 F4'
_cell_length_a 12.6308
_cell_length_b 7.0344
_cell_length_c 6.1087
_cell_angle_alpha 90.00
_cell_angle_beta 90.00
_cell_angle_gamma 90.00
_symmetry_space_group_name_H-M 'C m c 21'
_symmetry_Int_Tables_number 36
loop_
_symmetry_equiv_pos_as_xyz
'x,y,z'
'-x,-y,z+1/2'
'-x,y,z'
'x,-y,z+1/2'
'x+1/2,y+1/2,z'
'-x+1/2,-y+1/2,z+1/2'
'-x+1/2,y+1/2,z'
'x+1/2,-y+1/2,z+1/2'
loop_
_atom_site_label
_atom_site_type_symbol
_atom_site_fract_x
_atom_site_fract_y
_atom_site_fract_z
Ag1 Ag 0.0000 0.0546 0.0000
Ag2 Ag 0.1433 0.4699 0.6217
Br1 Br 0.1592 0.1792 0.3250
F1 F 0.0000 0.3700 0.8713
# **Offset from the most stable computed form**: 0 meV/atom
# **Final energy**: -67.98 eV/cell
# **Spin magnetization**: 0.000 μB per formula unit

***

# Na2BiCl6 PBE relaxed
data_Na2BiCl6
_chemical_formula_sum 'Na2 Bi1 Cl6'
_cell_length_a 6.8283
_cell_length_b 7.1144
_cell_length_c 7.1157
_cell_angle_alpha 60.01
_cell_angle_beta 81.57
_cell_angle_gamma 70.81
_symmetry_space_group_name_H-M 'P -1'
_symmetry_Int_Tables_number 2
loop_
_symmetry_equiv_pos_as_xyz
'x,y,z'
'-x,-y,-z'
loop_
_atom_site_label
_atom_site_type_symbol
_atom_site_fract_x
_atom_site_fract_y
_atom_site_fract_z
Na1 Na 0.0011 0.1664 0.1665
Bi1 Bi 0.0000 0.5000 0.5000
Cl1 Cl 0.2260 0.7351 0.5059
Cl2 Cl 0.2281 0.4271 0.1956
Cl3 Cl 0.2286 0.1166 0.8134
# **Density of states at the Fermi level**: 5.18 states/eV/f.u.
# **Final energy**: -28.32 eV/cell
# **Spin magnetization**: 0.713 μB per formula unit

***

# KTc2Rh PBE relaxed
data_KTc2Rh
_chemical_formula_sum 'K1 Tc2 Rh1'
_cell_length_a 4.9814
_cell_length_b 4.9814
_cell_length_c 2.7208
_cell_angle_alpha 90.00
_cell_angle_beta 90.00
_cell_angle_gamma 90.00
_symmetry_space_group_name_H-M 'P 4/m m m'
_symmetry_Int_Tables_number 123
_symmetry_space_group_name_Hall '-P 4 2'
loop_
_atom_site_label
_atom_site_type_symbol
_atom_site_fract_x
_atom_site_fract_y
_atom_site_fract_z
K1 K 0.0000 0.0000 0.0000
Tc1 Tc 0.0000 0.5000 0.5000
Rh1 Rh 0.5000 0.5000 0.0000
# **Density of states at the Fermi level**: 5.63 states/eV/f.u.
# **Offset from the most stable computed form**: 899 meV/atom
# **Final energy**: -23.33 eV/cell
# **Spin magnetization**: 0.784 μB per formula unit
# **Formation energy**: 1462 meV/atom

***

# VCrSbP2 PBE relaxed
data_VCrSbP2
_chemical_formula_sum 'V1 Cr1 Sb1 P2'
_cell_length_a 4.2643
_cell_length_b 4.2643
_cell_length_c 5.5220
_cell_angle_alpha 90.00
_cell_angle_beta 90.00
_cell_angle_gamma 90.00
_symmetry_space_group_name_H-M 'P 4/m m m'
_symmetry_Int_Tables_number 123
_symmetry_space_group_name_Hall '-P 4 2'
loop_
_atom_site_label
_atom_site_type_symbol
_atom_site_fract_x
_atom_site_fract_y
_atom_site_fract_z
V1 V 0.0000 0.0000 0.0000
Cr1 Cr 0.5000 0.5000 0.5000
Sb1 Sb 0.5000 0.5000 0.0000
P1 P 0.0000 0.5000 0.5000
# **Density of states at the Fermi level**: 10.91 states/eV/f.u.
# **Final energy**: -29.79 eV/cell
# **Spin magnetization**: 0.169 μB per formula unit

***

# K3RbNa2 PBE relaxed
data_K3RbNa2
_chemical_formula_sum 'K6 Rb2 Na4'
_cell_length_a 6.3430
_cell_length_b 18.3903
_cell_length_c 6.3613
_cell_angle_alpha 90.00
_cell_angle_beta 90.00
_cell_angle_gamma 90.00
_symmetry_space_group_name_H-M 'C m m m'
_symmetry_Int_Tables_number 65
_symmetry_space_group_name_Hall '-C 2 2'
loop_
_atom_site_label
_atom_site_type_symbol
_atom_site_fract_x
_atom_site_fract_y
_atom_site_fract_z
K1 K 0.0000 0.0000 0.0000
K2 K 0.0000 0.3247 0.0000
Rb1 Rb 0.0000 0.5000 0.5000
Na1 Na 0.0000 0.1804 0.5000
# **Density of states at the Fermi level**: 3.07 states/eV/f.u.
# **Final energy**: -13.47 eV/cell
# **Spin magnetization**: 0.000 μB per formula unit
# **Formation energy**: 27 meV/atom

***

# AgPd12Au3 PBE relaxed
data_AgPd12Au3
_chemical_formula_sum 'Ag1 Pd12 Au3'
_cell_length_a 4.0000
_cell_length_b 4.0000
_cell_length_c 16.0068
_cell_angle_alpha 90.00
_cell_angle_beta 90.00
_cell_angle_gamma 90.00
_symmetry_space_group_name_H-M 'P 4/m m m'
_symmetry_Int_Tables_number 123
_symmetry_space_group_name_Hall '-P 4 2'
loop_
_atom_site_label
_atom_site_type_symbol
_atom_site_fract_x
_atom_site_fract_y
_atom_site_fract_z
Ag1 Ag 0.0000 0.0000 0.0000
Pd1 Pd 0.0000 0.5000 0.1245
Pd2 Pd 0.0000 0.5000 0.3748
Pd3 Pd 0.5000 0.5000 0.0000
Pd4 Pd 0.5000 0.5000 0.2495
Pd5 Pd 0.5000 0.5000 0.5000
Au1 Au 0.0000 0.0000 0.2495
Au2 Au 0.0000 0.0000 0.5000
# **Density of states at the Fermi level**: 22.51 states/eV/f.u.
# **Final energy**: -75.58 eV/cell
# **Spin magnetization**: 0.000 μB per formula unit
# **Formation energy**: -36 meV/atom

***

# LiCaBe2Ga PBE relaxed
data_LiCaBe2Ga
_chemical_formula_sum 'Li1 Ca1 Be2 Ga1'
_cell_length_a 4.3857
_cell_length_b 4.3857
_cell_length_c 4.7999
_cell_angle_alpha 90.00
_cell_angle_beta 90.00
_cell_angle_gamma 90.00
_symmetry_space_group_name_H-M 'P 4/m m m'
_symmetry_Int_Tables_number 123
_symmetry_space_group_name_Hall '-P 4 2'
loop_
_atom_site_label
_atom_site_type_symbol
_atom_site_fract_x
_atom_site_fract_y
_atom_site_fract_z
Li1 Li 0.0000 0.0000 0.0000
Ca1 Ca 0.0000 0.0000 0.5000
Be1 Be 0.0000 0.5000 0.0000
Ga1 Ga 0.5000 0.5000 0.5000
# **Density of states at the Fermi level**: 3.51 states/eV/f.u.
# **Final energy**: -10.60 eV/cell
# **Spin magnetization**: 0.000 μB per formula unit
# **Formation energy**: 758 meV/atom

***

# LiSCl2 PBE relaxed
data_LiSCl2
_chemical_formula_sum 'Li4 S4 Cl8'
_cell_length_a 7.0034
_cell_length_b 7.0034
_cell_length_c 7.0034
_cell_angle_alpha 90.00
_cell_angle_beta 90.00
_cell_angle_gamma 90.00
_symmetry_space_group_name_H-M 'F m -3 m'
_symmetry_Int_Tables_number 225
_symmetry_space_group_name_Hall '-F 4 2 3'
loop_
_atom_site_label
_atom_site_type_symbol
_atom_site_fract_x
_atom_site_fract_y
_atom_site_fract_z
Li1 Li 0.0000 0.0000 0.0000
S1 S 0.0000 0.0000 0.5000
Cl1 Cl 0.2500 0.2500 0.2500
# **Density of states at the Fermi level**: 1.12 states/eV/f.u.
# **Offset from the most stable computed form**: 523 meV/atom
# **Final energy**: -40.41 eV/cell
# **Spin magnetization**: 3.000 μB per formula unit

***

> The lowest final energy belongs to which entry?

K2SrCl4